(1)
DFT (GGA-PBE) results for crystalline Pm2HoLu at its relaxed geometry.

- DOS(E_F): 26.52 states/eV/cell
- SG: Fm-3m, No. 225
- VASP energy: -4.55 eV/atom

```
16
Lattice="8.044 0.000 0.000 0.000 8.044 0.000 0.000 0.000 8.044" Properties=species:S:1:pos:R:3 pbc="T T T"
Pm 2.011 2.011 2.011
Pm 2.011 2.011 6.033
Pm 2.011 6.033 2.011
Pm 2.011 6.033 6.033
Pm 6.033 2.011 2.011
Pm 6.033 2.011 6.033
Pm 6.033 6.033 2.011
Pm 6.033 6.033 6.033
Ho 0.000 0.000 0.000
Ho 0.000 4.022 4.022
Ho 4.022 0.000 4.022
Ho 4.022 4.022 0.000
Lu 0.000 0.000 4.022
Lu 0.000 4.022 0.000
Lu 4.022 0.000 0.000
Lu 4.022 4.022 4.022
```

***

(2)
DFT (GGA-PBE) results for crystalline Tb4PrHo at its relaxed geometry.

- DOS(E_F): 17.18 states/eV/cell
- SG: Cmcm, No. 63
- VASP energy: -4.40 eV/atom

```
12
Lattice="3.370 -6.057 0.000 3.370 6.057 0.000 0.000 0.000 9.768" Properties=species:S:1:pos:R:3 pbc="T T T"
Tb 1.628 1.257 7.326
Tb 3.370 4.205 5.571
Tb 3.370 4.205 9.081
Tb 1.628 -1.257 2.442
Tb 5.111 1.257 7.326
Tb 3.370 -4.205 0.687
Tb 3.370 -4.205 4.197
Tb 5.111 -1.257 2.442
Pr 3.370 2.149 2.442
Pr 3.370 -2.149 7.326
Ho 3.370 0.000 0.000
Ho 3.370 0.000 4.884
```

***

(3)
DFT (GGA-PBE) results for crystalline MgTcNi2Ag at its relaxed geometry.

- DOS(E_F): 5.42 states/eV/cell
- SG: P4/mmm, No. 123
- VASP energy: -3.82 eV/atom

```
5
Lattice="4.646 0.000 0.000 0.000 4.646 0.000 0.000 0.000 4.610" Properties=species:S:1:pos:R:3 pbc="T T T"
Mg 0.000 0.000 0.000
Tc 2.323 2.323 0.000
Ni 0.000 2.323 2.305
Ni 2.323 0.000 2.305
Ag 0.000 0.000 2.305
```

***

(4)
DFT (GGA-PBE) results for crystalline La2BiRh2 at its relaxed geometry.

- DOS(E_F): 9.06 states/eV/cell
- SG: I4/mmm, No. 139
- VASP energy: -6.32 eV/atom

```
10
Lattice="5.608 0.000 0.000 0.000 5.608 0.000 0.000 0.000 8.327" Properties=species:S:1:pos:R:3 pbc="T T T"
La 0.000 2.804 2.082
La 0.000 2.804 6.245
La 2.804 0.000 2.082
La 2.804 0.000 6.245
Bi 0.000 0.000 0.000
Bi 2.804 2.804 4.163
Rh 0.000 0.000 2.836
Rh 0.000 0.000 5.491
Rh 2.804 2.804 1.328
Rh 2.804 2.804 6.999
```

***

(5)
DFT (GGA-PBE) results for crystalline RbSnHI2 at its relaxed geometry.

- DOS(E_F): 0.79 states/eV/cell
- SG: P4/mmm, No. 123
- VASP energy: -2.86 eV/atom

```
5
Lattice="6.342 0.000 0.000 0.000 6.342 0.000 0.000 0.000 4.371" Properties=species:S:1:pos:R:3 pbc="T T T"
Rb 0.000 0.000 0.000
Sn 3.171 3.171 2.186
H 3.171 3.171 0.000
I 0.000 3.171 2.186
I 3.171 0.000 2.186
```

***

(6)
DFT (GGA-PBE) results for crystalline Np3Tl2IrO12 at its relaxed geometry.

- DOS(E_F): 14.70 states/eV/cell
- E_form (uncorrected): -3609 kJ/mol of formula units
- SG: R-3m, No. 166
- VASP energy: -8.30 eV/atom

```
18
Lattice="3.938 2.274 6.010 -3.938 2.274 6.010 0.000 -4.548 6.010" Properties=species:S:1:pos:R:3 pbc="T T T"
Np -1.969 -1.137 6.010
Np -1.969 1.137 12.021
Np 0.000 2.274 6.010
Tl 0.000 0.000 2.824
Tl 0.000 0.000 15.207
Ir 0.000 0.000 9.015
O 0.000 -1.700 5.486
O -1.472 0.850 5.486
O -1.426 -0.823 7.898
O 0.000 -1.646 10.133
O -1.426 0.823 10.133
O -1.472 -0.850 12.545
O 1.472 0.850 5.486
O 1.426 -0.823 7.898
O 0.000 1.646 7.898
O 1.426 0.823 10.133
O 1.472 -0.850 12.545
O 0.000 1.700 12.545
```

***

(7)
DFT (GGA-PBE) results for crystalline InClF at its relaxed geometry.

- DOS(E_F): 2.47 states/eV/cell
- E_form (uncorrected): -437 kJ/mol of formula units
- SG: P-1, No. 2
- VASP energy: -3.66 eV/atom

```
6
Lattice="4.462 0.000 0.000 0.001 5.139 0.000 0.027 2.533 6.404" Properties=species:S:1:pos:R:3 pbc="T T T"
In 1.115 2.564 1.522
In 3.375 5.108 4.883
Cl 1.119 5.134 1.997
Cl 3.371 2.538 4.408
F 1.143 5.100 5.663
F 3.346 2.573 0.741
```

***

(8)
DFT (GGA-PBE) results for crystalline Nd2Ga7Ag at its relaxed geometry.

- DOS(E_F): 2.96 states/eV/cell
- SG: P-4m2, No. 115
- VASP energy: -3.81 eV/atom

```
10
Lattice="4.300 0.000 0.000 0.000 4.300 0.000 0.000 0.000 10.947" Properties=species:S:1:pos:R:3 pbc="T T T"
Nd 0.000 2.150 2.727
Nd 2.150 0.000 8.219
Ga 0.000 0.000 0.000
Ga 0.000 2.150 6.982
Ga 0.000 2.150 9.444
Ga 2.150 0.000 1.503
Ga 2.150 0.000 3.965
Ga 2.150 2.150 0.000
Ga 2.150 2.150 5.473
Ag 0.000 0.000 5.473
```

***

(9)
DFT (GGA-PBE) results for crystalline NiGe3Bi at its relaxed geometry.

- DOS(E_F): 2.24 states/eV/cell
- SG: Pm-3m, No. 221
- VASP energy: -4.53 eV/atom

```
5
Lattice="4.722 0.000 0.000 0.000 4.722 0.000 0.000 0.000 4.722" Properties=species:S:1:pos:R:3 pbc="T T T"
Ni 0.000 0.000 0.000
Ge 0.000 0.000 2.361
Ge 0.000 2.361 0.000
Ge 2.361 0.000 0.000
Bi 2.361 2.361 2.361
```

***

(10)
DFT (GGA-PBE) results for crystalline PmNbNi2 at its relaxed geometry.

- DOS(E_F): 4.26 states/eV/cell
- SG: P4/mmm, No. 123
- VASP energy: -6.73 eV/atom

```
4
Lattice="3.223 0.000 0.000 0.000 3.223 0.000 0.000 0.000 6.818" Properties=species:S:1:pos:R:3 pbc="T T T"
Pm 0.000 0.000 0.000
Nb 0.000 0.000 3.409
Ni 1.611 1.611 2.126
Ni 1.611 1.611 4.692
```

***

(11)
DFT (GGA-PBE) results for crystalline Ca3SmTm3S8 at its relaxed geometry.

- DOS(E_F): 4.64 states/eV/cell
- E_form (uncorrected): -2986 kJ/mol of formula units
- SG: R-3m, No. 166
- VASP energy: -5.87 eV/atom

```
15
Lattice="3.915 2.261 6.520 -3.915 2.261 6.520 0.000 -4.521 6.520" Properties=species:S:1:pos:R:3 pbc="T T T"
Ca -1.958 -1.130 6.520
Ca -1.958 1.130 13.041
Ca 0.000 2.261 6.520
Sm 0.000 0.000 9.781
Tm -3.915 0.000 9.781
Tm -1.958 1.130 3.260
Tm 1.958 1.130 3.260
S -2.004 -1.157 11.348
S 0.000 0.000 4.819
S 0.000 -2.314 8.213
S -2.004 1.157 8.213
S 2.004 -1.157 11.348
S 0.000 2.314 11.348
S 0.000 0.000 14.742
S 2.004 1.157 8.213
```

***

(12)
DFT (GGA-PBE) results for crystalline SrTa2Se at its relaxed geometry.

- DOS(E_F): 8.11 states/eV/cell
- E_form (uncorrected): 75 kJ/mol of formula units
- SG: Immm, No. 71
- VASP energy: -7.02 eV/atom

```
8
Lattice="3.085 0.000 0.000 0.000 4.976 0.000 0.000 0.000 11.472" Properties=species:S:1:pos:R:3 pbc="T T T"
Sr 0.000 0.000 0.000
Sr 1.542 2.488 5.736
Ta 0.000 2.488 2.382
Ta 0.000 2.488 9.090
Ta 1.542 0.000 3.354
Ta 1.542 0.000 8.118
Se 0.000 0.000 5.736
Se 1.542 2.488 0.000
```